Material: La2InRh
Method: DFT, PBE
State: relaxed

**E**: -0.40855 Ry per atom
**Total magnetization**: 0.00 μB/cell
**Density**: 7.3 g cm⁻³
**Energy of formation**: -0.57 eV per atom

Structure (POSCAR):
```
La2InRh
1.0
-3.882 0.963 0.142
-0.843 -2.821 -3.925
-1.407 -5.886 1.469
In Rh La
1 1 2
direct
0.500 0.556 0.763
0.000 0.729 0.417
0.000 0.956 0.963
0.500 0.259 0.357
```